Record 1
AlZnN2F after structural relaxation, computed with PBE-GGA.

Summary:
M_tot ... 0.000 μB/atom
Energy relative to the elements, uncorrected ... 608 meV per atom

abc: 3.8548 3.8548 3.8680
angles: 90.00 90.00 90.00
Closest atoms and distances in Å follow each position.
Space group P4/mmm (No. 123)
Unique sites:
Al 0.0000 0.0000 0.0000 (multiplicity 1)  4 F 2.73, 8 N 2.73
Zn 0.5000 0.5000 0.5000 (multiplicity 1)  4 N 1.93, 2 F 1.93
N 0.0000 0.5000 0.5000 (multiplicity 2)  2 Zn 1.93
F 0.5000 0.5000 0.0000 (multiplicity 1)  2 Zn 1.93

Record 2
KLiTl2 after structural relaxation, computed with PBE-GGA.

Summary:
M_tot ... 0.000 μB/atom
ΔE_f ... -0.5 eV per formula unit

abc: 3.5373 3.7820 8.5889
angles: 90.00 90.12 90.00
Closest atoms and distances in Å follow each position.
Space group P2/m (No. 10)
Unique sites:
K 0.0000 0.0000 0.0000 (multiplicity 1)  4 K 3.54-3.78, 8 Tl 3.72
Li 0.0000 0.0000 0.5000 (multiplicity 1)  8 Tl 3.06
Tl 0.5000 0.5000 0.3106 (multiplicity 2)  4 Li 3.06, 1 Tl 3.25

Record 3
LiAcEuSi after structural relaxation, computed with PBE-GGA.

Summary:
M_tot ... 1.861 μB/atom
Energy relative to the elements, uncorrected ... -235 meV per atom

abc: 7.6328 7.6328 7.6328
angles: 90.00 90.00 90.00
Closest atoms and distances in Å follow each position.
Space group F-43m (No. 216)
Unique sites:
Li 0.0000 0.0000 0.0000 (multiplicity 4)  4 Ac 3.31, 4 Eu 3.31
Ac 0.2500 0.2500 0.2500 (multiplicity 4)  4 Li 3.31, 4 Si 3.31
Eu 0.2500 0.2500 0.7500 (multiplicity 4)  4 Li 3.31, 4 Si 3.31
Si 0.0000 0.0000 0.5000 (multiplicity 4)  4 Ac 3.31, 4 Eu 3.31

Record 4
Tl2CdPt after structural relaxation, computed with PBE-GGA.

Summary:
M_tot ... 0.000 μB/atom
ΔE_f ... 0.0 eV per formula unit

abc: 3.2868 4.6743 12.9218
angles: 90.00 90.00 90.00
Closest atoms and distances in Å follow each position.
Space group Imm2 (No. 44)
Unique sites:
Tl 0.0000 0.0000 0.0000 (multiplicity 2)  4 Pt 2.86
Tl 0.0000 0.5000 0.1948 (multiplicity 2)  2 Pt 3.11, 4 Cd 3.23, 4 Tl 3.29-3.43
Cd 0.0000 0.5000 0.8111 (multiplicity 2)  2 Pt 2.84
Pt 0.0000 0.0000 0.4901 (multiplicity 2)  2 Cd 2.84, 6 Tl 2.86-3.11

Record 5
RbNiAg2 after structural relaxation, computed with PBE-GGA.

Summary:
M_tot ... 0.000 μB/atom
ΔE_f ... 3.1 eV per formula unit

abc: 7.1771 7.1771 7.1771
angles: 90.00 90.00 90.00
Closest atoms and distances in Å follow each position.
Space group Fm-3m (No. 225)
Unique sites:
Rb 0.0000 0.0000 0.0000 (multiplicity 4)  8 Ag 3.11
Ni 0.0000 0.0000 0.5000 (multiplicity 4)  8 Ag 3.11
Ag 0.2500 0.2500 0.2500 (multiplicity 8)  4 Ni 3.11, 4 Rb 3.11

Record 6
YTc4P4 after structural relaxation, computed with PBE-GGA.

Summary:
M_tot ... 0.000 μB/atom
ΔE_f ... -5.2 eV per formula unit

abc: 5.9612 5.9612 7.8275
angles: 90.00 90.00 90.00
Closest atoms and distances in Å follow each position.
Space group P4_2/nmc (No. 137, origin choice 2)
Unique sites:
Y 0.2500 0.7500 0.2500 (multiplicity 2)  12 P 3.13-3.48, 12 Tc 3.28-3.47
Tc 0.0030 0.2500 0.1227 (multiplicity 8)  5 P 2.36-2.46
P 0.0506 0.2500 0.4223 (multiplicity 8)  5 Tc 2.36-2.46, 1 P 2.38